Material: ThScTiCd
Method: DFT, PBE-GGA
State: optimized geometry

```
ThScTiCd
1.0
5.158 0.000 0.000
2.579 4.467 0.000
2.579 1.489 4.211
Ti Sc Cd Th
1 1 1 1
direct
0.250 0.250 0.250 Ti
0.500 0.500 0.500 Sc
0.750 0.750 0.750 Cd
0.000 0.000 0.000 Th
```

Its space group is No. 216.

=====

Material: ThScTlCd
Method: DFT, PBE-GGA
State: optimized geometry

```
ThScTlCd
1.0
5.299 0.000 0.000
2.649 4.589 0.000
2.649 1.530 4.326
Tl Cd Sc Th
1 1 1 1
direct
0.250 0.250 0.250 Tl
0.750 0.750 0.750 Cd
0.000 0.000 0.000 Sc
0.500 0.500 0.500 Th
```

Its space group is No. 216.

=====

Material: ThSc2Tl2Cd2
Method: DFT, PBE-GGA
State: optimized geometry

```
ThSc2Tl2Cd2
1.0
-4.133 -1.736 -2.076
3.835 -3.026 0.775
-4.170 0.715 7.704
Sc Tl Th Cd
2 2 1 2
direct
0.136 0.273 0.410 Sc
0.864 0.727 0.590 Sc
0.734 0.467 0.201 Tl
0.266 0.533 0.799 Tl
0.000 0.000 0.000 Th
0.562 0.124 0.685 Cd
0.438 0.876 0.315 Cd
```

Its space group is No. 12.

=====

Material: YThScCd
Method: DFT, PBE-GGA
State: optimized geometry

```
YThScCd
1.0
-3.917 3.198 -1.887
-5.163 -1.114 1.111
-2.773 3.157 3.388
Y Th Cd Sc
1 1 1 1
direct
0.500 0.500 0.500 Y
0.000 0.000 0.000 Th
0.750 0.750 0.750 Cd
0.250 0.250 0.250 Sc
```

Its space group is No. 216.

=====

Material: Sc2Ti2Cd
Method: DFT, PBE-GGA
State: optimized geometry

```
Sc2Ti2Cd
1.0
-3.859 1.421 6.412
-4.191 -6.259 -1.135
2.437 -1.978 1.905
Ti Sc Cd
4 4 2
direct
0.637 0.863 0.500 Ti
0.363 0.137 0.500 Ti
0.863 0.363 0.500 Ti
0.137 0.637 0.500 Ti
0.651 0.151 0.000 Sc
0.349 0.849 0.000 Sc
0.151 0.349 0.000 Sc
0.849 0.651 0.000 Sc
0.500 0.500 0.000 Cd
0.000 0.000 0.000 Cd
```

As for the energy above the lowest structure with this stoichiometry: 114 meV/atom. Its space group is No. 127.

=====

Material: ScTi2Cd
Method: DFT, PBE-GGA
State: optimized geometry

```
ScTi2Cd
1.0
4.362 0.000 0.000
0.000 4.230 0.000
0.000 0.000 4.230
Ti Cd Sc
2 1 1
direct
0.000 0.500 0.000 Ti
0.000 0.000 0.500 Ti
0.500 0.500 0.500 Cd
0.500 0.000 0.000 Sc
```

Its space group is No. 123.

=====

Material: ScTi3Cd
Method: DFT, PBE-GGA
State: optimized geometry

```
ScTi3Cd
1.0
4.997 0.000 0.000
0.000 4.997 0.000
0.000 0.000 4.997
Cd Ti Sc
1 3 1
direct
0.000 0.000 0.000 Cd
0.000 0.000 0.500 Ti
0.000 0.500 0.000 Ti
0.500 0.000 0.000 Ti
0.500 0.500 0.500 Sc
```

As for the energy above the lowest structure with this stoichiometry: 0 meV/atom. Its space group is No. 221.

=====

Material: Sc2Ti2Cd
Method: DFT, PBE-GGA
State: optimized geometry

```
Sc2Ti2Cd
1.0
7.572 0.000 0.000
0.000 7.572 0.000
0.000 0.000 3.629
Sc Ti Cd
4 4 2
direct
0.830 0.330 0.500 Sc
0.170 0.670 0.500 Sc
0.330 0.170 0.500 Sc
0.670 0.830 0.500 Sc
0.625 0.125 0.000 Ti
0.125 0.375 0.000 Ti
0.375 0.875 0.000 Ti
0.875 0.625 0.000 Ti
0.500 0.500 0.000 Cd
0.000 0.000 0.000 Cd
```

As for the energy above the lowest structure with this stoichiometry: 0 meV/atom. Its space group is No. 127.

=====

Material: ScTi2Cd2
Method: DFT, PBE-GGA
State: optimized geometry

```
ScTi2Cd2
1.0
7.874 0.000 0.000
0.000 7.874 0.000
0.000 0.000 3.331
Cd Ti Sc
4 4 2
direct
0.370 0.870 0.000 Cd
0.630 0.130 0.000 Cd
0.130 0.370 0.000 Cd
0.870 0.630 0.000 Cd
0.330 0.170 0.500 Ti
0.830 0.330 0.500 Ti
0.170 0.670 0.500 Ti
0.670 0.830 0.500 Ti
0.000 0.000 0.000 Sc
0.500 0.500 0.000 Sc
```

As for the energy above the lowest structure with this stoichiometry: 47 meV/atom. Its space group is No. 127.

=====

Material: ScTi2Cd2
Method: DFT, PBE-GGA
State: optimized geometry

```
ScTi2Cd2
1.0
3.789 0.000 0.000
0.000 3.789 0.000
1.894 1.894 7.266
Cd Ti Sc
2 2 1
direct
0.402 0.402 0.196 Cd
0.598 0.598 0.804 Cd
0.750 0.250 0.500 Ti
0.250 0.750 0.500 Ti
0.000 0.000 0.000 Sc
```

As for the energy above the lowest structure with this stoichiometry: 59 meV/atom. Its space group is No. 139.

=====

Material: ScTiCd4
Method: DFT, PBE-GGA
State: optimized geometry

```
ScTiCd4
1.0
-0.528 -2.835 -4.876
-4.375 -3.514 -0.773
-4.121 1.366 -3.639
Cd Ti Sc
4 1 1
direct
0.124 0.625 0.625 Cd
0.625 0.625 0.124 Cd
0.625 0.124 0.625 Cd
0.625 0.625 0.625 Cd
0.000 0.000 0.000 Ti
0.250 0.250 0.250 Sc
```

As for the energy above the lowest structure with this stoichiometry: 115 meV/atom. Its space group is No. 216.

=====

Material: ScTi3Cd
Method: DFT, PBE-GGA
State: optimized geometry

```
ScTi3Cd
1.0
-1.984 -1.448 -4.052
-3.662 -1.775 2.427
-2.259 4.148 -0.376
Ti Cd Sc
3 1 1
direct
0.000 0.500 0.000 Ti
0.000 0.000 0.500 Ti
0.500 0.000 0.000 Ti
0.500 0.500 0.500 Cd
0.000 0.000 0.000 Sc
```

As for the energy above the lowest structure with this stoichiometry: 4 meV/atom. Its space group is No. 221.

=====

Material: ScTi2Cd2
Method: DFT, PBE-GGA
State: optimized geometry

```
ScTi2Cd2
1.0
-3.644 -2.978 -6.816
6.527 -4.921 -1.339
-1.291 -2.157 1.632
Ti Cd Sc
4 4 2
direct
0.109 0.391 0.000 Ti
0.609 0.109 0.000 Ti
0.391 0.891 0.000 Ti
0.891 0.609 0.000 Ti
0.315 0.185 0.500 Cd
0.185 0.685 0.500 Cd
0.815 0.315 0.500 Cd
0.685 0.815 0.500 Cd
0.000 0.000 0.000 Sc
0.500 0.500 0.000 Sc
```

As for the energy above the lowest structure with this stoichiometry: 0 meV/atom. Its space group is No. 127.

=====

Material: Sc4TiCd5
Method: DFT, PBE-GGA
State: optimized geometry

```
Sc4TiCd5
1.0
-0.875 -3.412 0.279
1.241 -0.048 3.308
-15.555 4.470 5.900
Cd Sc Ti
5 4 1
direct
0.500 0.500 0.705 Cd
0.500 0.500 0.295 Cd
0.500 0.500 0.500 Cd
0.500 0.500 0.092 Cd
0.500 0.500 0.908 Cd
0.000 0.000 0.397 Sc
0.000 0.000 0.808 Sc
0.000 0.000 0.603 Sc
0.000 0.000 0.192 Sc
0.000 0.000 0.000 Ti
```

Its space group is No. 123.

=====

Material: Sc3TiCd
Method: DFT, PBE-GGA
State: optimized geometry

```
Sc3TiCd
1.0
5.021 0.000 0.000
0.000 5.021 0.000
0.000 0.000 5.021
Sc Ti Cd
3 1 1
direct
0.000 0.000 0.500 Sc
0.000 0.500 0.000 Sc
0.500 0.000 0.000 Sc
0.000 0.000 0.000 Ti
0.500 0.500 0.500 Cd
```

Its space group is No. 221.

=====

Material: ScTiCd3
Method: DFT, PBE-GGA
State: optimized geometry

```
ScTiCd3
1.0
-0.094 1.524 4.938
3.032 -3.983 1.287
4.185 2.920 -0.822
Ti Sc Cd
1 1 3
direct
0.000 0.000 0.000 Ti
0.500 0.500 0.500 Sc
0.000 0.000 0.500 Cd
0.500 0.000 0.000 Cd
0.000 0.500 0.000 Cd
```

As for the energy above the lowest structure with this stoichiometry: 0 meV/atom. Its space group is No. 221.

=====

Material: ScTiCd4
Method: DFT, PBE-GGA
State: optimized geometry

```
ScTiCd4
1.0
3.018 0.000 0.873
1.980 6.327 -1.191
-0.484 -3.329 7.326
Cd Sc Ti
4 1 1
direct
0.174 0.489 0.163 Cd
0.826 0.511 0.837 Cd
0.338 0.996 0.327 Cd
0.662 0.004 0.673 Cd
0.500 0.500 0.500 Sc
0.000 0.000 0.000 Ti
```

As for the energy above the lowest structure with this stoichiometry: 0 meV/atom. Its space group is No. 12.

=====

Material: ScTi2Cd
Method: DFT, PBE-GGA
State: optimized geometry

```
ScTi2Cd
1.0
7.656 0.000 0.000
0.000 7.656 0.000
3.828 3.828 2.856
Ti Sc Cd
4 2 2
direct
0.875 0.888 0.750 Ti
0.375 0.362 0.750 Ti
0.638 0.125 0.250 Ti
0.112 0.625 0.250 Ti
0.250 0.750 0.500 Sc
0.500 0.500 0.000 Sc
0.750 0.250 0.500 Cd
0.000 0.000 0.000 Cd
```

Its space group is No. 122.

=====

Material: TmScTiCd
Method: DFT, PBE-GGA
State: optimized geometry

```
TmScTiCd
1.0
-0.515 2.731 -4.240
-3.608 -1.188 -3.358
-4.016 3.037 -0.587
Cd Sc Ti Tm
1 1 1 1
direct
0.250 0.250 0.250 Cd
0.000 0.000 0.000 Sc
0.750 0.750 0.750 Ti
0.500 0.500 0.500 Tm
```

Its space group is No. 216.

=====

Material: Sc11Tl4Cd9
Method: DFT, PBE-GGA
State: optimized geometry

```
Sc11Tl4Cd9
1.0
-1.554 2.792 1.322
-11.452 -6.129 -0.517
5.795 -2.187 11.429
Cd Sc Tl
9 11 4
direct
0.500 0.500 0.500 Cd
0.500 0.975 0.800 Cd
0.500 0.622 0.149 Cd
0.500 0.025 0.200 Cd
0.500 0.149 0.622 Cd
0.500 0.200 0.025 Cd
0.500 0.800 0.975 Cd
0.500 0.851 0.378 Cd
0.500 0.378 0.851 Cd
0.000 0.407 0.057 Sc
0.000 0.593 0.943 Sc
0.000 0.357 0.643 Sc
0.000 0.643 0.357 Sc
0.000 0.943 0.593 Sc
0.000 0.767 0.767 Sc
0.000 0.000 0.000 Sc
0.000 0.176 0.824 Sc
0.000 0.057 0.407 Sc
0.000 0.233 0.233 Sc
0.000 0.824 0.176 Sc
0.500 0.258 0.435 Tl
0.500 0.742 0.565 Tl
0.500 0.435 0.258 Tl
0.500 0.565 0.742 Tl
```

Its space group is No. 65.

=====

| no. | mass density (g/cm3) | ΔE_f (eV/atom) |
| --- | --- | --- |
| 1 | 7.48 | 0.091 |
| 2 | 9.37 | -0.149 |
| 3 | 9.01 | -0.085 |
| 4 | 7.14 | 0.010 |
| 5 | 4.65 | 0.258 |
| 6 | 5.38 | 0.053 |
| 7 | 4.01 | 1.104 |
| 8 | 4.76 | 0.144 |
| 9 | 5.88 | 0.157 |
| 10 | 5.82 | 0.169 |
| 11 | 7.01 | 0.019 |
| 12 | 4.70 | 1.108 |
| 13 | 5.90 | 0.110 |
| 14 | 6.10 | -0.207 |
| 15 | 3.87 | 0.516 |
| 16 | 5.17 | 0.691 |
| 17 | 7.21 | -0.096 |
| 18 | 5.02 | 0.447 |
| 19 | 6.74 | 0.032 |
| 20 | 7.05 | -0.242 |